Record 1
! LiAs2Os, optimized geometry, DFT PBE; values from VASP
&SYSTEM
  ibrav = 0, nat = 4, ntyp = 3
/
ATOMIC_SPECIES
Li 6.94 Li.upf
As 74.92 As.upf
Os 190.23 Os.upf
ATOMIC_POSITIONS crystal
Li 0.0000 0.0000 0.0000
As 0.2653 0.2653 0.9444
As 0.5136 0.5136 0.4821
Os 0.7833 0.7833 0.3317
CELL_PARAMETERS angstrom
4.3060 -1.5628 0.0000
4.3060 1.5628 0.0000
-0.8980 0.0000 4.9369
! Theoretical density: 8.672 g cm⁻³
! ΔH_f (0 K): 2 meV per atom

=====

Record 2
! Li2AsOs, optimized geometry, DFT PBE; values from VASP
&SYSTEM
  ibrav = 0, nat = 4, ntyp = 3
/
ATOMIC_SPECIES
Li 6.94 Li.upf
As 74.92 As.upf
Os 190.23 Os.upf
ATOMIC_POSITIONS crystal
Li 0.0000 0.0000 0.2399
Li 0.0000 0.0000 0.7601
As 0.5000 0.5000 0.5000
Os 0.5000 0.5000 0.0000
CELL_PARAMETERS angstrom
3.3993 0.0000 0.0000
0.0000 3.3993 0.0000
0.0000 0.0000 4.8298
! Theoretical density: 8.302 g cm⁻³
! ΔH_f (0 K): 91 meV per atom

=====

Record 3
! LiAsOs, optimized geometry, DFT PBE; values from VASP
&SYSTEM
  ibrav = 0, nat = 3, ntyp = 3
/
ATOMIC_SPECIES
Li 6.94 Li.upf
As 74.92 As.upf
Os 190.23 Os.upf
ATOMIC_POSITIONS crystal
Li 0.0000 0.0000 0.0000
As 0.3310 0.3310 0.0000
Os 0.6770 0.6770 0.0000
CELL_PARAMETERS angstrom
-1.5614 1.5614 4.1177
1.5614 -1.5614 4.1177
1.5614 1.5614 -4.1177
! Theoretical density: 11.252 g cm⁻³
! ΔH_f (0 K): -142 meV per atom

=====

Record 4
! Li2AsOs, optimized geometry, DFT PBE; values from VASP
&SYSTEM
  ibrav = 0, nat = 4, ntyp = 3
/
ATOMIC_SPECIES
Li 6.94 Li.upf
As 74.92 As.upf
Os 190.23 Os.upf
ATOMIC_POSITIONS crystal
Li 0.0000 0.0000 0.2472
Li 0.0000 0.0000 0.7528
As 0.5000 0.5000 0.0000
Os 0.5000 0.5000 0.5000
CELL_PARAMETERS angstrom
1.5823 -2.1216 0.0000
1.5823 2.1216 0.0000
0.0000 0.0000 8.6431
! Theoretical density: 7.985 g cm⁻³
! ΔH_f (0 K): 38 meV per atom